(1)
# BaZrS2, optimized geometry, DFT PBE
data_BaZrS2
_symmetry_space_group_name_H-M 'P 1'
_symmetry_Int_Tables_number 1
_cell_length_a 6.472
_cell_length_b 6.472
_cell_length_c 12.299
_cell_angle_alpha 90.00
_cell_angle_beta 90.00
_cell_angle_gamma 90.00
loop_
_symmetry_equiv_pos_as_xyz
'x,y,z'
loop_
_atom_site_label
_atom_site_type_symbol
_atom_site_fract_x
_atom_site_fract_y
_atom_site_fract_z
Ba1 Ba 0.000 0.000 0.000
Ba2 Ba 0.000 0.500 0.250
Ba3 Ba 0.500 0.000 0.750
Ba4 Ba 0.500 0.500 0.500
Zr1 Zr 0.000 0.000 0.500
Zr2 Zr 0.000 0.500 0.750
Zr3 Zr 0.500 0.000 0.250
Zr4 Zr 0.500 0.500 0.000
S1 S 0.175 0.250 0.625
S2 S 0.250 0.675 0.875
S3 S 0.250 0.825 0.375
S4 S 0.325 0.250 0.125
S5 S 0.675 0.750 0.125
S6 S 0.750 0.175 0.375
S7 S 0.750 0.325 0.875
S8 S 0.825 0.750 0.625
# - space-group type = I-42d, No. 122
# - electronic total energy (eV per atom) = -5.9731
# - mass density (g/cm3) = 3.8
# - E_form (uncorrected) (meV/atom) = -1292

***

(2)
# NaLaPd, optimized geometry, DFT PBE
data_NaLaPd
_symmetry_space_group_name_H-M 'P 1'
_symmetry_Int_Tables_number 1
_cell_length_a 8.715
_cell_length_b 8.715
_cell_length_c 8.715
_cell_angle_alpha 33.55
_cell_angle_beta 33.55
_cell_angle_gamma 33.55
loop_
_symmetry_equiv_pos_as_xyz
'x,y,z'
loop_
_atom_site_label
_atom_site_type_symbol
_atom_site_fract_x
_atom_site_fract_y
_atom_site_fract_z
Na1 Na 0.138 0.138 0.138
Na2 Na 0.862 0.862 0.862
La1 La 0.383 0.383 0.383
La2 La 0.617 0.617 0.617
Pd1 Pd 0.262 0.262 0.262
Pd2 Pd 0.738 0.738 0.738
# - space-group type = R-3m, No. 166
# - electronic total energy (eV per atom) = -4.1543
# - formation energy from the elements (kJ per mole of atoms) = -33
# - mass density (g/cm3) = 4.9

***

(3)
# YScCd6, optimized geometry, DFT PBE
data_YScCd6
_symmetry_space_group_name_H-M 'P 1'
_symmetry_Int_Tables_number 1
_cell_length_a 4.831
_cell_length_b 7.094
_cell_length_c 10.679
_cell_angle_alpha 90.00
_cell_angle_beta 90.00
_cell_angle_gamma 90.00
loop_
_symmetry_equiv_pos_as_xyz
'x,y,z'
loop_
_atom_site_label
_atom_site_type_symbol
_atom_site_fract_x
_atom_site_fract_y
_atom_site_fract_z
Y1 Y 0.000 0.000 0.000
Y2 Y 0.000 0.500 0.500
Sc1 Sc 0.500 0.000 0.734
Sc2 Sc 0.500 0.500 0.234
Cd1 Cd 0.000 0.000 0.548
Cd2 Cd 0.000 0.221 0.271
Cd3 Cd 0.000 0.279 0.771
Cd4 Cd 0.000 0.500 0.048
Cd5 Cd 0.000 0.721 0.771
Cd6 Cd 0.000 0.779 0.271
Cd7 Cd 0.500 0.000 0.194
Cd8 Cd 0.500 0.217 0.461
Cd9 Cd 0.500 0.283 0.961
Cd10 Cd 0.500 0.500 0.694
Cd11 Cd 0.500 0.717 0.961
Cd12 Cd 0.500 0.783 0.461
# - space-group type = Amm2, No. 38
# - electronic total energy (eV per atom) = -2.5348
# - formation energy from the elements (kJ per mole of atoms) = -24
# - mass density (g/cm3) = 7.3

***

- What is the mass density in the second record?
  4.9 g/cm3

***

- Among the records above, which one has the lowest mass density?
  BaZrS2

***

- Which of these has the highest electronic total energy?
  YScCd6

***

Copy entry 2 word for word.
# NaLaPd, optimized geometry, DFT PBE
data_NaLaPd
_symmetry_space_group_name_H-M 'P 1'
_symmetry_Int_Tables_number 1
_cell_length_a 8.715
_cell_length_b 8.715
_cell_length_c 8.715
_cell_angle_alpha 33.55
_cell_angle_beta 33.55
_cell_angle_gamma 33.55
loop_
_symmetry_equiv_pos_as_xyz
'x,y,z'
loop_
_atom_site_label
_atom_site_type_symbol
_atom_site_fract_x
_atom_site_fract_y
_atom_site_fract_z
Na1 Na 0.138 0.138 0.138
Na2 Na 0.862 0.862 0.862
La1 La 0.383 0.383 0.383
La2 La 0.617 0.617 0.617
Pd1 Pd 0.262 0.262 0.262
Pd2 Pd 0.738 0.738 0.738
# - space-group type = R-3m, No. 166
# - electronic total energy (eV per atom) = -4.1543
# - formation energy from the elements (kJ per mole of atoms) = -33
# - mass density (g/cm3) = 4.9